A:
This record from Alexandria describes Tl3SnW after structural relaxation. The functional is GGA-PBE.

Lattice parameters (Å, degrees): 5.7592 5.7592 5.7592 90.00 90.00 90.00
Site moments in Bohr magnetons follow the coordinates.
Positions (direct):
Tl (0.0000, 0.0000, 0.5000)  0.00
Sn (0.0000, 0.0000, 0.0000)  -0.01
Tl (0.0000, 0.5000, 0.0000)  -0.03
W (0.5000, 0.5000, 0.5000)  3.41
Tl (0.5000, 0.0000, 0.0000)  -0.01

B:
This record from Alexandria describes Tl3SnW after structural relaxation. The functional is GGA-PBE.

Lattice parameters (Å, degrees): 5.4151 5.4151 5.4151 90.00 90.00 90.00
Positions (direct):
Sn (0.5000, 0.5000, 0.5000)
Tl (0.5000, 0.0000, 0.0000)
Tl (0.0000, 0.0000, 0.5000)
Tl (0.0000, 0.5000, 0.0000)
W (0.0000, 0.0000, 0.0000)

B comes first in stability; the runner-up is 0.696 eV/atom higher.

A:
This record from Alexandria describes TlSn2W after structural relaxation. The functional is GGA-PBE.

Lattice parameters (Å, degrees): 4.2107 4.2107 11.0099 78.98 78.98 90.00
Positions (direct):
W (0.2500, 0.7500, 0.5000)
Tl (0.0000, 0.0000, 0.0000)
W (0.5000, 0.5000, 0.0000)
Sn (0.8750, 0.8673, 0.7500)
Tl (0.7500, 0.2500, 0.5000)
Sn (0.1327, 0.6250, 0.2500)
Sn (0.6173, 0.1250, 0.2500)
Sn (0.3750, 0.3827, 0.7500)

B:
This record from Alexandria describes TlSn2W after structural relaxation. The functional is GGA-PBE.

Lattice parameters (Å, degrees): 5.0863 5.0863 5.0863 60.00 60.00 60.00
Site moments in Bohr magnetons follow the coordinates.
Positions (direct):
Tl (0.5000, 0.5000, 0.5000)  0.00
W (0.0000, 0.0000, 0.0000)  0.83
Sn (0.2500, 0.2500, 0.2500)  -0.02
Sn (0.7500, 0.7500, 0.7500)  -0.02

B comes first in stability; the runner-up is 0.010 eV/atom higher.

A:
This record from Alexandria describes Tl2SnW after structural relaxation. The functional is GGA-PBE.

Lattice parameters (Å, degrees): 5.1876 5.1876 5.1876 60.00 60.00 60.00
Site moments in Bohr magnetons follow the coordinates.
Positions (direct):
Sn (0.0000, 0.0000, 0.0000)  -0.03
W (0.5000, 0.5000, 0.5000)  2.30
Tl (0.2500, 0.2500, 0.2500)  0.02
Tl (0.7500, 0.7500, 0.7500)  0.02

B:
This record from Alexandria describes Tl2SnW after structural relaxation. The functional is GGA-PBE.

Lattice parameters (Å, degrees): 4.1611 4.1611 11.5429 79.62 79.62 90.00
Positions (direct):
W (0.0000, 0.0000, 0.0000)
W (0.7500, 0.2500, 0.5000)
Tl (0.6353, 0.1250, 0.2500)
Sn (0.2500, 0.7500, 0.5000)
Sn (0.5000, 0.5000, 0.0000)
Tl (0.1147, 0.6250, 0.2500)
Tl (0.3750, 0.3647, 0.7500)
Tl (0.8750, 0.8853, 0.7500)

B comes first in stability; the runner-up is 0.158 eV/atom higher.

A:
This record from Alexandria describes YTl2Sn after structural relaxation. The functional is GGA-PBE.

Lattice parameters (Å, degrees): 8.5824 8.5824 6.8475 51.19 51.19 90.00
Positions (direct):
Sn (0.0000, 0.0000, 0.0000)
Tl (0.1090, 0.6250, 0.2500)
Tl (0.6410, 0.1250, 0.2500)
Tl (0.8750, 0.8910, 0.7500)
Y (0.5000, 0.5000, 0.0000)
Y (0.2500, 0.7500, 0.5000)
Sn (0.7500, 0.2500, 0.5000)
Tl (0.3750, 0.3590, 0.7500)

B:
This record from Alexandria describes YTl2Sn after structural relaxation. The functional is GGA-PBE.

Lattice parameters (Å, degrees): 5.0745 4.6222 4.6222 90.00 90.00 90.00
Positions (direct):
Sn (0.5000, 0.0000, 0.0000)
Tl (0.0000, 0.0000, 0.5000)
Tl (0.0000, 0.5000, 0.0000)
Y (0.5000, 0.5000, 0.5000)

C:
This record from Alexandria describes YTl2Sn after structural relaxation. The functional is GGA-PBE.

Lattice parameters (Å, degrees): 5.4343 5.4343 5.4343 60.00 60.00 60.00
Positions (direct):
Y (0.0000, 0.0000, 0.0000)
Sn (0.5000, 0.5000, 0.5000)
Tl (0.7500, 0.7500, 0.7500)
Tl (0.2500, 0.2500, 0.2500)

D:
This record from Alexandria describes YTl2Sn after structural relaxation. The functional is GGA-PBE.

Lattice parameters (Å, degrees): 3.5578 3.5578 11.6058 81.18 81.18 60.00
Positions (direct):
Sn (0.5000, 0.5000, 0.5000)
Y (0.0000, 0.0000, 0.0000)
Tl (0.0909, 0.0909, 0.7273)
Tl (0.9091, 0.9091, 0.2727)

B comes first in stability; the runner-up is 0.188 eV/atom higher.

A:
This record from Alexandria describes Tl2ZnSn after structural relaxation. The functional is GGA-PBE.

Lattice parameters (Å, degrees): 4.4835 4.4835 6.9780 71.26 71.26 60.00
Positions (direct):
Sn (0.5033, 0.5033, 0.4902)
Tl (0.2598, 0.2598, 0.2206)
Zn (0.6648, 0.6648, 0.0056)
Tl (0.0721, 0.0721, 0.7836)

B:
This record from Alexandria describes Tl2ZnSn after structural relaxation. The functional is GGA-PBE.

Lattice parameters (Å, degrees): 3.5234 3.5234 8.4956 90.00 90.00 90.00
Positions (direct):
Sn (0.5000, 0.5000, 0.5000)
Tl (0.0000, 0.0000, 0.7771)
Tl (0.0000, 0.0000, 0.2229)
Zn (0.5000, 0.5000, 0.0000)

B comes first in stability; the runner-up is 0.062 eV/atom higher.

A:
This record from Alexandria describes Tl2ZnSn after structural relaxation. The functional is GGA-PBE.

Lattice parameters (Å, degrees): 8.4035 8.4035 6.7085 51.22 51.22 90.00
Positions (direct):
Zn (0.2500, 0.7500, 0.5000)
Tl (0.8750, 0.8422, 0.7500)
Tl (0.3750, 0.4078, 0.7500)
Tl (0.1578, 0.6250, 0.2500)
Sn (0.0000, 0.0000, 0.0000)
Tl (0.5922, 0.1250, 0.2500)
Sn (0.7500, 0.2500, 0.5000)
Zn (0.5000, 0.5000, 0.0000)

B:
This record from Alexandria describes Tl2ZnSn after structural relaxation. The functional is GGA-PBE.

Lattice parameters (Å, degrees): 5.3530 5.3530 5.3530 60.00 60.00 60.00
Positions (direct):
Zn (0.0000, 0.0000, 0.0000)
Tl (0.7500, 0.7500, 0.7500)
Tl (0.2500, 0.2500, 0.2500)
Sn (0.5000, 0.5000, 0.5000)

B comes first in stability; the runner-up is 0.029 eV/atom higher.

A:
This record from Alexandria describes TlZnSn3 after structural relaxation. The functional is GGA-PBE.

Lattice parameters (Å, degrees): 5.3207 5.3207 5.3207 90.00 90.00 90.00
Positions (direct):
Sn (0.0000, 0.5000, 0.0000)
Tl (0.5000, 0.5000, 0.5000)
Zn (0.0000, 0.0000, 0.0000)
Sn (0.0000, 0.0000, 0.5000)
Sn (0.5000, 0.0000, 0.0000)

B:
This record from Alexandria describes TlZnSn3 after structural relaxation. The functional is GGA-PBE.

Lattice parameters (Å, degrees): 4.1824 9.8960 13.0409 90.00 90.00 90.00
Positions (direct):
Sn (0.2500, 0.0750, 0.4113)
Sn (0.7500, 0.1442, 0.7895)
Sn (0.2500, 0.8558, 0.2105)
Zn (0.2500, 0.6223, 0.8724)
Sn (0.7500, 0.1136, 0.2151)
Sn (0.7500, 0.9250, 0.5887)
Tl (0.7500, 0.3405, 0.5071)
Tl (0.2500, 0.1595, 0.0071)
Sn (0.2500, 0.3864, 0.7151)
Zn (0.7500, 0.3777, 0.1276)
Sn (0.2500, 0.3558, 0.2895)
Zn (0.2500, 0.1223, 0.6276)
Sn (0.7500, 0.6136, 0.2849)
Sn (0.7500, 0.4250, 0.9113)
Sn (0.7500, 0.6442, 0.7105)
Sn (0.2500, 0.8864, 0.7849)
Zn (0.7500, 0.8777, 0.3724)
Tl (0.7500, 0.8405, 0.9929)
Sn (0.2500, 0.5750, 0.0887)
Tl (0.2500, 0.6595, 0.4929)

B comes first in stability; the runner-up is 0.226 eV/atom higher.

A:
This record from Alexandria describes TlZnSn3 after structural relaxation. The functional is GGA-PBE.

Lattice parameters (Å, degrees): 5.7651 5.7651 5.7651 90.00 90.00 90.00
Positions (direct):
Sn (0.0000, 0.5000, 0.0000)
Zn (0.5000, 0.5000, 0.5000)
Tl (0.0000, 0.0000, 0.0000)
Sn (0.0000, 0.0000, 0.5000)
Sn (0.5000, 0.0000, 0.0000)

B:
This record from Alexandria describes TlZnSn3 after structural relaxation. The functional is GGA-PBE.

Lattice parameters (Å, degrees): 5.4881 6.7417 8.1576 114.41 101.42 90.00
Positions (direct):
Sn (0.1400, 0.8183, 0.6366)
Zn (0.5000, 0.0000, 0.0000)
Sn (0.6666, 0.1068, 0.7024)
Zn (0.0000, 0.0000, 0.0000)
Tl (0.2117, 0.4256, 0.8511)
Sn (0.6666, 0.5956, 0.7024)
Sn (0.8600, 0.1817, 0.3634)
Tl (0.7883, 0.5744, 0.1489)
Sn (0.3334, 0.8932, 0.2976)
Sn (0.3334, 0.4044, 0.2976)

B comes first in stability; the runner-up is 0.743 eV/atom higher.

A:
This record from Alexandria describes Tl2ZnSn2 after structural relaxation. The functional is GGA-PBE.

Lattice parameters (Å, degrees): 7.1876 7.1876 5.5455 90.00 90.00 90.00
Positions (direct):
Zn (0.0000, 0.0000, 0.0000)
Sn (0.6472, 0.1472, 0.0000)
Sn (0.3528, 0.8528, 0.0000)
Tl (0.1689, 0.6689, 0.5000)
Tl (0.8311, 0.3311, 0.5000)
Sn (0.8528, 0.6472, 0.0000)
Zn (0.5000, 0.5000, 0.0000)
Tl (0.6689, 0.8311, 0.5000)
Tl (0.3311, 0.1689, 0.5000)
Sn (0.1472, 0.3528, 0.0000)

B:
This record from Alexandria describes Tl2ZnSn2 after structural relaxation. The functional is GGA-PBE.

Lattice parameters (Å, degrees): 7.4293 7.4293 5.1200 90.00 90.00 90.00
Positions (direct):
Zn (0.5000, 0.5000, 0.0000)
Tl (0.8469, 0.6531, 0.0000)
Tl (0.1531, 0.3469, 0.0000)
Tl (0.6531, 0.1531, 0.0000)
Zn (0.0000, 0.0000, 0.0000)
Sn (0.8447, 0.3447, 0.5000)
Sn (0.6553, 0.8447, 0.5000)
Sn (0.3447, 0.1553, 0.5000)
Tl (0.3469, 0.8469, 0.0000)
Sn (0.1553, 0.6553, 0.5000)

C:
This record from Alexandria describes Tl2ZnSn2 after structural relaxation. The functional is GGA-PBE.

Lattice parameters (Å, degrees): 4.1961 4.1961 9.2864 76.94 76.94 90.00
Positions (direct):
Tl (0.5951, 0.5951, 0.8098)
Sn (0.7500, 0.2500, 0.5000)
Tl (0.4049, 0.4049, 0.1902)
Sn (0.2500, 0.7500, 0.5000)
Zn (0.0000, 0.0000, 0.0000)

A comes first in stability; the runner-up is 0.109 eV/atom higher.

A:
This record from Alexandria describes TlZn2Sn after structural relaxation. The functional is GGA-PBE.

Lattice parameters (Å, degrees): 3.5229 3.5229 7.3805 90.00 90.00 90.00
Positions (direct):
Sn (0.5000, 0.5000, 0.0000)
Zn (0.0000, 0.0000, 0.7621)
Tl (0.5000, 0.5000, 0.5000)
Zn (0.0000, 0.0000, 0.2379)

B:
This record from Alexandria describes TlZn2Sn after structural relaxation. The functional is GGA-PBE.

Lattice parameters (Å, degrees): 4.6932 4.6932 9.5744 75.81 75.81 90.00
Positions (direct):
Sn (0.5000, 0.5000, 0.0000)
Zn (0.1335, 0.6250, 0.2500)
Tl (0.0000, 0.0000, 0.0000)
Sn (0.2500, 0.7500, 0.5000)
Zn (0.8750, 0.8665, 0.7500)
Tl (0.7500, 0.2500, 0.5000)
Zn (0.6165, 0.1250, 0.2500)
Zn (0.3750, 0.3835, 0.7500)

A comes first in stability; the runner-up is 0.050 eV/atom higher.

A:
This record from Alexandria describes TlZn2Sn2 after structural relaxation. The functional is GGA-PBE.

Lattice parameters (Å, degrees): 4.5296 4.5296 6.8973 70.83 70.83 90.00
Positions (direct):
Sn (0.2500, 0.7500, 0.5000)
Sn (0.7500, 0.2500, 0.5000)
Tl (0.0000, 0.0000, 0.0000)
Zn (0.6005, 0.6005, 0.7989)
Zn (0.3995, 0.3995, 0.2011)

B:
This record from Alexandria describes TlZn2Sn2 after structural relaxation. The functional is GGA-PBE.

Lattice parameters (Å, degrees): 8.6662 8.6662 3.2123 90.00 90.00 90.00
Positions (direct):
Sn (0.1457, 0.3543, 0.0000)
Sn (0.6457, 0.1457, 0.0000)
Zn (0.1498, 0.6498, 0.5000)
Tl (0.5000, 0.5000, 0.0000)
Zn (0.6498, 0.8502, 0.5000)
Zn (0.3502, 0.1498, 0.5000)
Sn (0.8543, 0.6457, 0.0000)
Zn (0.8502, 0.3502, 0.5000)
Tl (0.0000, 0.0000, 0.0000)
Sn (0.3543, 0.8543, 0.0000)

C:
This record from Alexandria describes TlZn2Sn2 after structural relaxation. The functional is GGA-PBE.

Lattice parameters (Å, degrees): 8.3998 8.3998 3.3722 90.00 90.00 90.00
Positions (direct):
Tl (0.0000, 0.0000, 0.0000)
Sn (0.8288, 0.3288, 0.5000)
Sn (0.6712, 0.8288, 0.5000)
Sn (0.3288, 0.1712, 0.5000)
Zn (0.8784, 0.6216, 0.0000)
Zn (0.6216, 0.1216, 0.0000)
Tl (0.5000, 0.5000, 0.0000)
Zn (0.1216, 0.3784, 0.0000)
Zn (0.3784, 0.8784, 0.0000)
Sn (0.1712, 0.6712, 0.5000)

A comes first in stability; the runner-up is 0.033 eV/atom higher.